No. 1
VASP calculation (PBE) on an optimized crystal structure of In2MoCl.

Calculated values
raw formation energy	0.1446	eV/atom
SG	Cmm2 (35)
total energy	-17.58	eV/cell
N(E_F)	2.5	states/eV/cell
distance to the lowest polymorph of the same formula	64	meV/atom

a = 3.1924 Å, b = 3.1924 Å, c = 10.5728 Å
α = 90.00°, β = 90.00°, γ = 120.97°
Closest atoms and distances in Å follow each position.
Fractional positions:
In 0.0000 0.0000 0.0000  2 Mo 2.88, 6 In 3.15-3.19
In 0.5000 0.5000 0.2660  8 In 3.15-3.22
Mo 0.5000 0.5000 0.7722  2 Cl 2.42
Cl 0.0000 0.0000 0.5987  2 Mo 2.42

---

No. 2
VASP calculation (PBE) on an optimized crystal structure of Na2B2F7.

Calculated values
raw formation energy	-2.5212	eV/atom
SG	C2/c (15)
total energy	-113.65	eV/cell
N(E_F)	2.7	states/eV/cell
distance to the lowest polymorph of the same formula	0	meV/atom

a = 6.2285 Å, b = 6.2285 Å, c = 9.7530 Å
α = 102.42°, β = 102.42°, γ = 104.57°
Closest atoms and distances in Å follow each position.
Fractional positions:
Na 0.1967 0.8005 0.5110  4 F 2.45-2.56
Na 0.1995 0.8033 0.9890  4 F 2.45-2.56
Na 0.8005 0.1967 0.0110  4 F 2.45-2.56
Na 0.8033 0.1995 0.4890  4 F 2.45-2.56
B 0.3091 0.3434 0.7804  3 F 1.38-1.40
B 0.3434 0.3091 0.2804  3 F 1.38-1.40
B 0.6566 0.6909 0.7196  3 F 1.38-1.40
B 0.6909 0.6566 0.2196  3 F 1.38-1.40
F 0.1642 0.3949 0.8636  1 B 1.39
F 0.1881 0.1891 0.6421  1 B 1.40
F 0.1891 0.1881 0.1421  1 B 1.40
F 0.2889 0.4949 0.3519  1 B 1.38
F 0.3949 0.1642 0.3636  1 B 1.39
F 0.4167 0.5833 0.7500  2 B 1.59
F 0.4949 0.2889 0.8519  1 B 1.38
F 0.5051 0.7111 0.1481  1 B 1.38
F 0.5833 0.4167 0.2500  2 B 1.59
F 0.6051 0.8358 0.6364  1 B 1.39
F 0.7111 0.5051 0.6481  1 B 1.38
F 0.8109 0.8119 0.8579  1 B 1.40
F 0.8119 0.8109 0.3579  1 B 1.40
F 0.8358 0.6051 0.1364  1 B 1.39

---

No. 3
VASP calculation (PBE) on an optimized crystal structure of TbNdSm2Tm.

Calculated values
energy of formation	0.28	eV/atom
SG	P2/c (13)
total energy	-43.77	eV/cell
N(E_F)	12.2	states/eV/cell

a = 8.3839 Å, b = 6.5591 Å, c = 6.2079 Å
α = 90.00°, β = 93.33°, γ = 90.00°
Closest atoms and distances in Å follow each position.
Fractional positions:
Tb 0.0000 0.0676 0.2500  2 Sm 3.11, 2 Tb 3.23, 2 Nd 3.23
Tb 0.0000 0.9324 0.7500  2 Sm 3.11, 2 Tb 3.23, 2 Nd 3.23
Nd 0.0000 0.5000 0.0000  2 Nd 3.10, 2 Tb 3.23
Nd 0.0000 0.5000 0.5000  2 Nd 3.10, 2 Tb 3.23
Sm 0.3101 0.1911 0.7318  1 Tb 3.11, 1 Sm 3.18, 1 Tm 3.48
Sm 0.3101 0.8089 0.2318  1 Tb 3.11, 1 Sm 3.18, 1 Tm 3.48
Sm 0.6899 0.1911 0.7682  1 Tb 3.11, 1 Sm 3.18, 1 Tm 3.48
Sm 0.6899 0.8089 0.2682  1 Tb 3.11, 1 Sm 3.18, 1 Tm 3.48
Tm 0.5000 0.3374 0.2500  8 Sm 3.48-3.81, 2 Tm 3.77
Tm 0.5000 0.6626 0.7500  8 Sm 3.48-3.81, 2 Tm 3.77

---

No. 4
VASP calculation (PBE) on an optimized crystal structure of NaCd2Ag6.

Calculated values
energy of formation	0.08	eV/atom
SG	P6/mmm (191)
total energy	-19.51	eV/cell
N(E_F)	2.9	states/eV/cell
distance to the lowest polymorph of the same formula	100	meV/atom

a = 5.6196 Å, b = 5.6196 Å, c = 7.7021 Å
α = 90.00°, β = 90.00°, γ = 120.00°
Closest atoms and distances in Å follow each position.
Fractional positions:
Na 0.0000 0.0000 0.0000  12 Ag 3.15
Cd 0.3333 0.6667 0.5000  6 Ag 2.92, 3 Cd 3.24
Cd 0.6667 0.3333 0.5000  6 Ag 2.92, 3 Cd 3.24
Ag 0.0000 0.5000 0.1844  5 Ag 2.81-2.84, 2 Cd 2.92
Ag 0.0000 0.5000 0.8156  5 Ag 2.81-2.84, 2 Cd 2.92
Ag 0.5000 0.0000 0.1844  5 Ag 2.81-2.84, 2 Cd 2.92
Ag 0.5000 0.0000 0.8156  5 Ag 2.81-2.84, 2 Cd 2.92
Ag 0.5000 0.5000 0.1844  5 Ag 2.81-2.84, 2 Cd 2.92
Ag 0.5000 0.5000 0.8156  5 Ag 2.81-2.84, 2 Cd 2.92

---

No. 5
VASP calculation (PBE) on an optimized crystal structure of Y3FeIr.

Calculated values
energy of formation	0.20	eV/atom
SG	Pm-3m (221)
total energy	-35.73	eV/cell
N(E_F)	14.2	states/eV/cell
distance to the lowest polymorph of the same formula	0	meV/atom

a = 5.3458 Å, b = 5.3458 Å, c = 5.3458 Å
α = 90.00°, β = 90.00°, γ = 90.00°
Closest atoms and distances in Å follow each position.
Fractional positions:
Y 0.0000 0.0000 0.5000  2 Ir 2.67
Y 0.0000 0.5000 0.0000  2 Ir 2.67
Y 0.5000 0.0000 0.0000  2 Ir 2.67
Fe 0.5000 0.5000 0.5000  12 Y 3.78
Ir 0.0000 0.0000 0.0000  6 Y 2.67

---

No. 6
VASP calculation (PBE) on an optimized crystal structure of Pm2Fe5Co12.

Calculated values
energy of formation	-0.07	eV/atom
SG	R-3m (166)
total energy	-138.36	eV/cell
N(E_F)	19.6	states/eV/cell

a = 6.3461 Å, b = 6.3461 Å, c = 6.3461 Å
α = 82.90°, β = 82.90°, γ = 82.90°
Closest atoms and distances in Å follow each position.
Fractional positions:
Pm 0.1570 0.1570 0.1570  15 Co 3.02-3.18, 4 Fe 3.04-3.25
Pm 0.8430 0.8430 0.8430  15 Co 3.02-3.18, 4 Fe 3.04-3.25
Fe 0.0000 0.5000 0.5000  8 Co 2.40-2.43, 2 Fe 2.58
Fe 0.4047 0.4047 0.4047  4 Fe 2.34-2.58
Fe 0.5000 0.0000 0.5000  8 Co 2.40-2.43, 2 Fe 2.58
Fe 0.5000 0.5000 0.0000  8 Co 2.40-2.43, 2 Fe 2.58
Fe 0.5953 0.5953 0.5953  4 Fe 2.34-2.58
Co 0.1561 0.1561 0.6561  3 Fe 2.43-2.63, 6 Co 2.44-2.62
Co 0.1561 0.6561 0.1561  3 Fe 2.43-2.63, 6 Co 2.44-2.62
Co 0.2134 0.5000 0.7866  4 Fe 2.40-2.68, 6 Co 2.41-2.62
Co 0.2134 0.7866 0.5000  4 Fe 2.40-2.68, 6 Co 2.41-2.62
Co 0.3439 0.8439 0.8439  3 Fe 2.43-2.63, 6 Co 2.44-2.62
Co 0.5000 0.2134 0.7866  4 Fe 2.40-2.68, 6 Co 2.41-2.62
Co 0.5000 0.7866 0.2134  4 Fe 2.40-2.68, 6 Co 2.41-2.62
Co 0.6561 0.1561 0.1561  3 Fe 2.43-2.63, 6 Co 2.44-2.62
Co 0.7866 0.2134 0.5000  4 Fe 2.40-2.68, 6 Co 2.41-2.62
Co 0.7866 0.5000 0.2134  4 Fe 2.40-2.68, 6 Co 2.41-2.62
Co 0.8439 0.3439 0.8439  3 Fe 2.43-2.63, 6 Co 2.44-2.62
Co 0.8439 0.8439 0.3439  3 Fe 2.43-2.63, 6 Co 2.44-2.62

---

Question: total energy of number 2 (Na2B2F7)?
Answer: -113.65 eV/cell

---

Question: Which formula does entry 1 have?
Answer: In2MoCl

---

Please write out number 2 again, unchanged.
VASP calculation (PBE) on an optimized crystal structure of Na2B2F7.

Calculated values
raw formation energy	-2.5212	eV/atom
SG	C2/c (15)
total energy	-113.65	eV/cell
N(E_F)	2.7	states/eV/cell
distance to the lowest polymorph of the same formula	0	meV/atom

a = 6.2285 Å, b = 6.2285 Å, c = 9.7530 Å
α = 102.42°, β = 102.42°, γ = 104.57°
Closest atoms and distances in Å follow each position.
Fractional positions:
Na 0.1967 0.8005 0.5110  4 F 2.45-2.56
Na 0.1995 0.8033 0.9890  4 F 2.45-2.56
Na 0.8005 0.1967 0.0110  4 F 2.45-2.56
Na 0.8033 0.1995 0.4890  4 F 2.45-2.56
B 0.3091 0.3434 0.7804  3 F 1.38-1.40
B 0.3434 0.3091 0.2804  3 F 1.38-1.40
B 0.6566 0.6909 0.7196  3 F 1.38-1.40
B 0.6909 0.6566 0.2196  3 F 1.38-1.40
F 0.1642 0.3949 0.8636  1 B 1.39
F 0.1881 0.1891 0.6421  1 B 1.40
F 0.1891 0.1881 0.1421  1 B 1.40
F 0.2889 0.4949 0.3519  1 B 1.38
F 0.3949 0.1642 0.3636  1 B 1.39
F 0.4167 0.5833 0.7500  2 B 1.59
F 0.4949 0.2889 0.8519  1 B 1.38
F 0.5051 0.7111 0.1481  1 B 1.38
F 0.5833 0.4167 0.2500  2 B 1.59
F 0.6051 0.8358 0.6364  1 B 1.39
F 0.7111 0.5051 0.6481  1 B 1.38
F 0.8109 0.8119 0.8579  1 B 1.40
F 0.8119 0.8109 0.3579  1 B 1.40
F 0.8358 0.6051 0.1364  1 B 1.39